Record 1
Here is a geometry-optimized ZrPd8Pt6 structure from the Alexandria database. Energies are from GGA-PBE.

The structure in CIF format:
```
data_ZrPd8Pt6
_space_group_name_H-M_alt 'P 1'
_space_group_IT_number 1
_cell_length_a 7.028
_cell_length_b 7.028
_cell_length_c 7.028
_cell_angle_alpha 59.50
_cell_angle_beta 59.50
_cell_angle_gamma 59.50
loop_
_space_group_symop_operation_xyz
'x,y,z'
loop_
_atom_site_label
_atom_site_type_symbol
_atom_site_fract_x
_atom_site_fract_y
_atom_site_fract_z
_atom_site_occupancy
Pd1 Pd 0.183 0.878 0.340 1
Pd2 Pd 0.817 0.122 0.660 1
Pd3 Pd 0.878 0.340 0.183 1
Pd4 Pd 0.660 0.817 0.122 1
Pd5 Pd 0.420 0.420 0.420 1
Pd6 Pd 0.580 0.580 0.580 1
Pd7 Pd 0.122 0.660 0.817 1
Pd8 Pd 0.340 0.183 0.878 1
Pt1 Pt 0.945 0.463 0.722 1
Pt2 Pt 0.537 0.278 0.055 1
Pt3 Pt 0.722 0.945 0.463 1
Pt4 Pt 0.278 0.055 0.537 1
Pt5 Pt 0.055 0.537 0.278 1
Pt6 Pt 0.463 0.722 0.945 1
Zr1 Zr 0.000 0.000 0.000 1
```

## Properties
Its energy of formation is -222 kJ/mol of formula units. The calculation puts the uncorrected energy at -88.6 eV per cell. The total magnetization comes out at 0.00 Bohr magnetons per cell. As for the space-group type: R-3 (148). As for the density of states at the Fermi level: 25.9 states/eV/cell. The value obtained for the calculated volume is 242.7 Å³/f.u.

Record 2
Here is a geometry-optimized Zr2PdPt9 structure from the Alexandria database. Energies are from GGA-PBE.

The structure in CIF format:
```
data_Zr2PdPt9
_space_group_name_H-M_alt 'P 1'
_space_group_IT_number 1
_cell_length_a 4.020
_cell_length_b 4.020
_cell_length_c 12.099
_cell_angle_alpha 90.00
_cell_angle_beta 90.00
_cell_angle_gamma 90.00
loop_
_space_group_symop_operation_xyz
'x,y,z'
loop_
_atom_site_label
_atom_site_type_symbol
_atom_site_fract_x
_atom_site_fract_y
_atom_site_fract_z
_atom_site_occupancy
Pt1 Pt 0.500 0.000 0.167 1
Pt2 Pt 0.500 0.500 0.000 1
Pt3 Pt 0.500 0.000 0.833 1
Pt4 Pt 0.000 0.500 0.500 1
Pt5 Pt 0.000 0.500 0.833 1
Pt6 Pt 0.500 0.500 0.334 1
Pt7 Pt 0.000 0.500 0.167 1
Pt8 Pt 0.500 0.000 0.500 1
Pt9 Pt 0.500 0.500 0.666 1
Zr1 Zr 0.000 0.000 0.672 1
Zr2 Zr 0.000 0.000 0.328 1
Pd1 Pd 0.000 0.000 0.000 1
```

## Properties
Its energy of formation is -823 kJ/mol of formula units. The calculation puts the uncorrected energy at -85.2 eV per cell. The total magnetization comes out at 0.00 Bohr magnetons per cell. As for the space-group type: P4/mmm (123). As for the density of states at the Fermi level: 11.8 states/eV/cell. The value obtained for the calculated volume is 195.5 Å³/f.u.

Record 3
Here is a geometry-optimized Zr2Pd5Pt5 structure from the Alexandria database. Energies are from GGA-PBE.

The structure in CIF format:
```
data_Zr2Pd5Pt5
_space_group_name_H-M_alt 'P 1'
_space_group_IT_number 1
_cell_length_a 4.006
_cell_length_b 6.326
_cell_length_c 8.612
_cell_angle_alpha 72.30
_cell_angle_beta 76.55
_cell_angle_gamma 71.54
loop_
_space_group_symop_operation_xyz
'x,y,z'
loop_
_atom_site_label
_atom_site_type_symbol
_atom_site_fract_x
_atom_site_fract_y
_atom_site_fract_z
_atom_site_occupancy
Pt1 Pt 0.418 0.912 0.252 1
Pt2 Pt 0.582 0.088 0.748 1
Pt3 Pt 0.334 0.328 0.004 1
Pt4 Pt 0.500 0.500 0.500 1
Pt5 Pt 0.666 0.672 0.996 1
Pd1 Pd 0.747 0.253 0.252 1
Pd2 Pd 0.832 0.835 0.500 1
Pd3 Pd 0.000 0.000 0.000 1
Pd4 Pd 0.168 0.165 0.500 1
Pd5 Pd 0.253 0.747 0.748 1
Zr1 Zr 0.084 0.584 0.247 1
Zr2 Zr 0.916 0.416 0.753 1
```

## Properties
Its energy of formation is -774 kJ/mol of formula units. The calculation puts the uncorrected energy at -81.3 eV per cell. The total magnetization comes out at 0.00 Bohr magnetons per cell. As for the space-group type: C2/m (12). As for the density of states at the Fermi level: 9.8 states/eV/cell. The value obtained for the calculated volume is 194.9 Å³/f.u. The energy above the most stable polymorph in this dataset is 0.000 eV/atom.